Crystalline TlGa2Os at its relaxed geometry. Source: the Alexandria database, functional PBE.

For the final energy, the calculation gives -0.318 Ry/atom.

```
8
Lattice="4.2668 0.0000 0.0000 0.0000 4.2668 0.0000 2.1334 2.1334 8.8215" Properties=species:S:1:pos:R:3 pbc="T T T"
Tl 4.2668 2.1334 4.4108
Ga 3.2001 3.5341 6.6162
Os 2.1334 2.1334 0.0000
Ga 1.4007 3.2001 2.2054
Ga 2.8661 1.0667 2.2054
Tl 0.0000 0.0000 0.0000
Os 2.1334 4.2668 4.4108
Ga 5.3335 4.9995 6.6162
```

---

Crystalline BaEuGa at its relaxed geometry. Source: the Alexandria database, functional PBE.

For the final energy, the calculation gives -0.385 Ry/atom.

```
3
Lattice="5.5646 0.0000 0.0000 2.7823 4.8191 0.0000 2.7823 1.6064 4.5435" Properties=species:S:1:pos:R:3 pbc="T T T"
Eu 0.0000 0.0000 0.0000
Ga 2.7823 1.6064 1.1359
Ba 5.5646 3.2127 2.2717
```

---

Crystalline Pm5Sm3Ho4 at its relaxed geometry. Source: the Alexandria database, functional PBE.

For the final energy, the calculation gives -0.328 Ry/atom.

```
12
Lattice="5.8418 0.0000 0.0000 2.9209 4.8507 -0.5446 2.9209 1.5756 14.1635" Properties=species:S:1:pos:R:3 pbc="T T T"
Pm 8.7627 4.3790 10.2544
Pm 8.7627 4.7910 13.8003
Pm 2.9209 2.0472 3.3645
Sm 5.8418 3.5960 3.1841
Ho 5.8418 5.8660 8.6028
Ho 5.8418 0.1941 1.7401
Ho 5.8418 6.2322 11.8788
Sm 5.8418 2.8302 10.4347
Sm 2.9209 3.2131 6.8094
Pm 5.8418 3.2131 6.8094
Pm 2.9209 1.6353 -0.1814
Ho 5.8418 0.5603 5.0161
```

---

Crystalline ErPt2 at its relaxed geometry. Source: the Alexandria database, functional PBE.

For the final energy, the calculation gives -0.490 Ry/atom.

```
6
Lattice="5.4172 0.0000 0.0000 2.7086 4.6914 0.0000 2.7086 1.5638 4.4231" Properties=species:S:1:pos:R:3 pbc="T T T"
Er 2.7086 1.5638 1.1058
Pt 6.7714 3.9095 2.7644
Pt 5.4172 3.1276 0.5529
Pt 5.4172 1.5638 2.7644
Er 0.0000 0.0000 0.0000
Pt 4.0629 3.9095 2.7644
```

---

Crystalline Ca2CdHg7 at its relaxed geometry. Source: the Alexandria database, functional PBE.

For the final energy, the calculation gives -0.069 Ry/atom.

```
10
Lattice="-4.0184 -2.2663 -2.0972 3.3319 -2.7210 2.6789 -6.4866 2.0804 10.1807" Properties=species:S:1:pos:R:3 pbc="T T T"
Hg -1.9497 -1.6613 5.5309
Hg -1.3628 0.4371 2.1390
Ca -3.7010 -1.7338 2.8421
Hg -5.2355 -0.6075 10.6880
Hg -6.6352 -0.7928 7.4474
Ca -3.5469 -1.1490 8.0378
Hg -3.3806 1.0842 5.3059
Cd -6.1393 -3.2384 9.1398
Hg -1.9113 -2.3078 0.0331
Hg -0.3274 -2.1816 2.9848
```

---

Crystalline TlZnIn2 at its relaxed geometry. Source: the Alexandria database, functional PBE.

For the final energy, the calculation gives -0.159 Ry/atom.

```
4
Lattice="-2.6141 1.9196 4.5072 -4.8309 -2.7378 0.0197 5.1368 -2.0729 -0.3861" Properties=species:S:1:pos:R:3 pbc="T T T"
In 0.0000 0.0000 0.0000
Zn -0.5999 -0.2813 3.1923
Tl -3.7225 -0.4091 2.2635
In -1.7083 -2.6099 0.9486
```

---

Crystalline Sc4InHg at its relaxed geometry. Source: the Alexandria database, functional PBE.

For the final energy, the calculation gives -0.352 Ry/atom.

```
6
Lattice="-1.3472 1.4205 4.4094 3.9272 -2.0870 1.8722 3.4909 5.8364 -0.8127" Properties=species:S:1:pos:R:3 pbc="T T T"
In 4.7622 5.4999 2.3302
Sc 4.1336 0.1243 3.8692
Hg 5.6533 0.8275 1.4681
Sc 2.8443 0.4577 0.7281
Sc 5.8267 2.9518 3.4764
Sc 4.5360 3.2852 0.3355
```

---

Crystalline Rb3ReRu at its relaxed geometry. Source: the Alexandria database, functional PBE.

For the final energy, the calculation gives -0.204 Ry/atom.

```
5
Lattice="-1.2143 -2.7625 5.5256 5.6843 1.7054 2.1018 -2.4190 5.3943 2.1652" Properties=species:S:1:pos:R:3 pbc="T T T"
Rb 2.8422 0.8527 1.0509
Rb -1.2095 2.6971 1.0826
Rb -0.6072 -1.3812 2.7628
Re 1.0255 2.1686 4.8963
Ru 0.0000 0.0000 0.0000
```

---

Crystalline CaHf2Mo at its relaxed geometry. Source: the Alexandria database, functional PBE.

For the final energy, the calculation gives -0.503 Ry/atom.

```
8
Lattice="-3.3721 -0.9441 4.1803 -3.3313 -2.7689 -3.3126 0.9916 -9.2706 2.2631" Properties=species:S:1:pos:R:3 pbc="T T T"
Mo 0.0000 0.0000 0.0000
Hf -0.9338 -7.6502 2.8543
Hf -3.1226 -3.4908 3.8138
Ca -2.8457 -6.9480 -0.3078
Hf -2.6267 -8.1279 4.9377
Hf -4.7813 -4.8733 2.1489
Mo -2.8661 -6.0356 3.4387
Ca -3.3517 -1.8565 0.4339
```

---

Crystalline PmNi6Sn8 at its relaxed geometry. Source: the Alexandria database, functional PBE.

For the final energy, the calculation gives -0.362 Ry/atom.

```
15
Lattice="-3.7005 -0.8498 5.6535 3.7975 -5.2305 2.1444 4.0742 3.9993 3.7128" Properties=species:S:1:pos:R:3 pbc="T T T"
Pm 0.0000 0.0000 0.0000
Sn -0.0020 0.1831 7.9018
Sn 4.1732 -2.2641 3.6089
Ni 2.9828 -0.0349 4.5104
Sn 2.3816 -4.2247 6.2412
Sn 1.7897 2.1437 5.2695
Sn -0.7976 -2.4565 5.3754
Ni 1.7491 -2.3689 4.5355
Sn 4.9689 0.3755 6.1352
Ni 3.6751 -1.8766 6.1298
Ni 0.4961 -0.2044 5.3809
Sn 3.1296 -1.5613 8.6361
Ni 1.1885 -2.0461 7.0003
Ni 2.4221 0.2879 6.9752
Sn 1.0417 -0.5197 2.8746
```

---

Crystalline Zn2CuPt2 at its relaxed geometry. Source: the Alexandria database, functional PBE.

For the final energy, the calculation gives -0.296 Ry/atom.

```
10
Lattice="-0.6808 1.3447 7.0931 -5.0008 -5.2264 0.5108 2.0672 -1.9230 0.5630" Properties=species:S:1:pos:R:3 pbc="T T T"
Cu 0.0000 0.0000 0.0000
Pt -3.5969 -4.4345 5.4217
Zn -1.1018 0.1521 4.5656
Zn -3.7601 -2.1491 6.4664
Pt -0.0175 -1.3701 2.7452
Pt -1.2129 -1.5914 6.3791
Cu -2.8408 -1.9408 3.8020
Zn -4.5797 -4.0338 3.0383
Pt -2.4014 -4.2132 1.7878
Zn -1.9214 -1.7326 1.1375
```

---

Crystalline Ac4As2IrS at its relaxed geometry. Source: the Alexandria database, functional PBE.

For the final energy, the calculation gives -0.456 Ry/atom. The formation energy from raw total energies comes out at -132.05 kJ/mol of atoms.

```
8
Lattice="-3.4773 1.7555 2.1330 -3.7449 -6.7401 -0.5577 4.0419 0.0630 6.5374" Properties=species:S:1:pos:R:3 pbc="T T T"
S 0.0000 0.0000 0.0000
Ac -1.4509 -4.0707 5.6083
As 0.1485 -3.3385 2.9898
Ac -1.8041 -4.9733 1.1521
Ac -1.7293 -0.8508 2.5044
As 0.2823 0.9093 4.3352
Ir -3.6111 -2.4923 0.7876
Ac 2.1011 -1.7037 4.8275
```